The following is a GGA-PBE calculation of a geometry-optimized Dy2Zn5Cu5 structure, from OQMD via LeMat-Bulk.

Cell: 4.171 5.135 8.841 Å, 90.00 90.00 90.00°
Fractional positions:
Dy  0.000  0.000  0.000
Dy  0.000  0.500  0.500
Zn  0.500  0.000  0.500
Zn  0.500  0.251  0.245
Zn  0.500  0.251  0.755
Zn  0.500  0.749  0.245
Zn  0.500  0.749  0.755
Cu  0.000  0.000  0.334
Cu  0.000  0.000  0.666
Cu  0.000  0.500  0.163
Cu  0.000  0.500  0.837
Cu  0.500  0.500  0.000

Computed properties:
For the formation energy, the calculation gives -27.95 kJ/mol of atoms. The total energy is -3.132 eV/atom.